1.
Below is a geometry-optimized ZnSi2As structure, with properties calculated at the PBE level.

Output
Total energy (eV/f.u.): -15.09
Mass density (g/cm3): 4.8
ΔE_f (raw) (eV/atom): 0.4210
Offset from the most stable computed form (kJ per mole of atoms): 18.9

Unit cell a=3.688 b=3.688 c=9.934 alpha=90.00 beta=90.00 gamma=90.00
Space group I4/mmm (No. 139)
Unique sites:
Zn (0.000, 0.000, 0.000)
Si (0.000, 0.500, 0.250)
As (0.000, 0.000, 0.500)

---

2.
Below is a geometry-optimized Zn2SiAs structure, with properties calculated at the PBE level.

Output
Total energy (eV/f.u.): -11.43
Mass density (g/cm3): 5.8
ΔE_f (raw) (eV/atom): 0.2980

Unit cell a=2.968 b=2.968 c=7.618 alpha=90.00 beta=90.00 gamma=90.00
Space group P4/mmm (No. 123)
Unique sites:
Zn (0.000, 0.000, 0.228)
Si (0.500, 0.500, 0.000)
As (0.500, 0.500, 0.500)

---

3.
Below is a geometry-optimized Zn2SiAs structure, with properties calculated at the PBE level.

Output
Total energy (eV/f.u.): -11.51
Mass density (g/cm3): 5.7
ΔE_f (raw) (eV/atom): 0.2783

Unit cell a=8.874 b=2.764 c=5.562 alpha=90.00 beta=97.42 gamma=90.00
Space group C2/m (No. 12)
Unique sites:
Zn (0.246, 0.000, 0.232)
Si (0.000, 0.500, 0.000)
As (0.000, 0.000, 0.500)

---

4.
Below is a geometry-optimized Zn2SiAs structure, with properties calculated at the PBE level.

Output
Total energy (eV/f.u.): -11.21
Mass density (g/cm3): 4.4
ΔE_f (raw) (eV/atom): 0.3522

Unit cell a=5.969 b=5.969 c=9.952 alpha=90.00 beta=90.00 gamma=90.00
Space group I-42d (No. 122)
Unique sites:
Zn (0.249, 0.250, 0.125)
Si (0.000, 0.000, 0.500)
As (0.000, 0.000, 0.000)

---

5.
Below is a geometry-optimized ZnSiAs2 structure, with properties calculated at the PBE level.

Output
Total energy (eV/f.u.): -15.35
Mass density (g/cm3): 5.4
ΔE_f (raw) (eV/atom): 0.1613
Offset from the most stable computed form (kJ per mole of atoms): 34.6

Unit cell a=7.414 b=7.410 c=2.704 alpha=90.00 beta=91.72 gamma=90.00
Space group C2/m (No. 12)
Unique sites:
Zn (0.000, 0.000, 0.000)
Si (0.000, 0.500, 0.000)
As (0.250, 0.250, 0.000)

---

6.
Below is a geometry-optimized ZnSi2As structure, with properties calculated at the PBE level.

Output
Total energy (eV/f.u.): -15.11
Mass density (g/cm3): 4.8
ΔE_f (raw) (eV/atom): 0.4161
Offset from the most stable computed form (kJ per mole of atoms): 18.4

Unit cell a=3.662 b=3.734 c=4.925 alpha=90.00 beta=90.00 gamma=90.00
Space group Pmmm (No. 47)
Unique sites:
Zn (0.000, 0.000, 0.000)
Si (0.000, 0.500, 0.500)
Si (0.500, 0.000, 0.500)
As (0.500, 0.500, 0.000)

---

7.
Below is a geometry-optimized ZnSiAs2 structure, with properties calculated at the PBE level.

Output
Total energy (eV/f.u.): -14.44
Mass density (g/cm3): 5.7
ΔE_f (raw) (eV/atom): 0.3889
Offset from the most stable computed form (kJ per mole of atoms): 56.6

Unit cell a=3.432 b=4.683 c=8.759 alpha=90.00 beta=90.00 gamma=90.00
Space group Cmmm (No. 65)
Unique sites:
Zn (0.000, 0.000, 0.000)
Si (0.000, 0.000, 0.500)
As (0.000, 0.500, 0.252)

---

8.
Below is a geometry-optimized Zn2SiAs structure, with properties calculated at the PBE level.

Output
Total energy (eV/f.u.): -11.48
Mass density (g/cm3): 5.7
ΔE_f (raw) (eV/atom): 0.2857

Unit cell a=2.845 b=3.910 c=6.120 alpha=90.00 beta=90.00 gamma=90.00
Space group Pmm2 (No. 25)
Unique sites:
Zn (0.000, 0.000, 0.000)
Zn (0.500, 0.500, 0.263)
Si (0.500, 0.500, 0.819)
As (0.000, 0.000, 0.472)

---

9.
Below is a geometry-optimized Zn2SiAs structure, with properties calculated at the PBE level.

Output
Total energy (eV/f.u.): -11.84
Mass density (g/cm3): 5.5
ΔE_f (raw) (eV/atom): 0.1961

Unit cell a=3.470 b=3.859 c=10.532 alpha=90.00 beta=90.00 gamma=90.00
Space group Imm2 (No. 44)
Unique sites:
Zn (0.000, 0.000, 0.000)
Zn (0.000, 0.500, 0.177)
Si (0.000, 0.000, 0.454)
As (0.000, 0.500, 0.781)

---

10.
Below is a geometry-optimized Zr2Si2As structure, with properties calculated at the PBE level.

Output
Total energy (eV/f.u.): -35.61
Mass density (g/cm3): 5.4
ΔE_f (raw) (eV/atom): -0.6035

Unit cell a=7.166 b=7.166 c=3.786 alpha=90.00 beta=90.00 gamma=90.00
Space group P4/mbm (No. 127)
Unique sites:
Zr (0.179, 0.321, 0.000)
Si (0.116, 0.616, 0.500)
As (0.000, 0.000, 0.000)

---

11.
Below is a geometry-optimized Zr4SiAs structure, with properties calculated at the PBE level.

Output
Total energy (eV/f.u.): -42.71
Mass density (g/cm3): 6.1
ΔE_f (raw) (eV/atom): 0.2593
Offset from the most stable computed form (kJ per mole of atoms): 106.6

Unit cell a=8.004 b=8.004 c=8.004 alpha=90.00 beta=90.00 gamma=90.00
Space group F-43m (No. 216)
Unique sites:
Zr (0.124, 0.124, 0.376)
Si (0.250, 0.250, 0.750)
As (0.000, 0.000, 0.000)

---

12.
Below is a geometry-optimized ZrSi3As structure, with properties calculated at the PBE level.

Output
Total energy (eV/f.u.): -25.03
Mass density (g/cm3): 4.0
ΔE_f (raw) (eV/atom): 0.8879
Offset from the most stable computed form (kJ per mole of atoms): 0.0

Unit cell a=4.709 b=4.709 c=4.709 alpha=90.00 beta=90.00 gamma=90.00
Space group Pm-3m (No. 221)
Unique sites:
Zr (0.000, 0.000, 0.000)
Si (0.000, 0.500, 0.500)
As (0.500, 0.500, 0.500)